Entry 1:
A relaxed ScAuCl crystal, computed with GGA-PBE.

abc: 4.4393 4.4393 3.6413
angles: 90.00 90.00 120.00
Last column: nearest neighbours and their distance in Å.
Fractional coordinates of all 3 atoms:
Au (0.0000, 0.0000, 0.0000)  6 Cl 3.14, 6 Sc 3.14
Cl (0.6667, 0.3333, 0.5000)  3 Sc 2.56
Sc (0.3333, 0.6667, 0.5000)  3 Cl 2.56

Properties
E_form (uncorrected): -0.759 eV/atom
space-group type: P-6m2 (187)
excess energy over the best structure of this formula in the dataset: 0.280 eV per atom


Entry 2:
A relaxed Nd12Zn6N crystal, computed with GGA-PBE.

abc: 8.1667 8.1667 8.1667
angles: 94.79 94.79 94.79
Last column: nearest neighbours and their distance in Å.
Fractional coordinates of all 19 atoms:
Nd (0.8069, 0.5782, 0.4614)  4 Zn 2.99-3.27
Nd (0.4614, 0.8069, 0.5782)  4 Zn 2.99-3.27
Nd (0.5782, 0.4614, 0.8069)  4 Zn 2.99-3.27
Nd (0.1931, 0.4218, 0.5386)  4 Zn 2.99-3.27
Nd (0.5386, 0.1931, 0.4218)  4 Zn 2.99-3.27
Nd (0.4218, 0.5386, 0.1931)  4 Zn 2.99-3.27
Nd (0.9628, 0.0777, 0.2953)  1 N 2.49
Nd (0.9223, 0.7047, 0.0372)  1 N 2.49
Nd (0.7047, 0.0372, 0.9223)  1 N 2.49
Nd (0.0372, 0.9223, 0.7047)  1 N 2.49
Nd (0.0777, 0.2953, 0.9628)  1 N 2.49
Nd (0.2953, 0.9628, 0.0777)  1 N 2.49
Zn (0.6511, 0.8477, 0.2532)  7 Nd 2.99-3.27
Zn (0.7468, 0.3489, 0.1523)  7 Nd 2.99-3.27
Zn (0.1523, 0.7468, 0.3489)  7 Nd 2.99-3.27
Zn (0.3489, 0.1523, 0.7468)  7 Nd 2.99-3.27
Zn (0.2532, 0.6511, 0.8477)  7 Nd 2.99-3.27
Zn (0.8477, 0.2532, 0.6511)  7 Nd 2.99-3.27
N (0.0000, 0.0000, 0.0000)  6 Nd 2.49

Properties
E_form (uncorrected): -0.249 eV/atom
space-group type: R-3 (148)


| no. | total magnetization (μB/f.u.) |
| --- | --- |
| 1 | 0.00 |
| 2 | 0.00 |